Ce2Ga3Ni12Ir: optimized geometry, PBE-GGA.

a b c (Å): 6.353 6.353 6.353
angles (deg): 83.05 83.05 83.05
Element x y z (fractional)
1 Ce 0.669 0.669 0.669
2 Ce 0.331 0.331 0.331
3 Ga 0.500 0.000 0.000
4 Ga 0.000 0.500 0.000
5 Ga 0.000 0.000 0.500
6 Ni 0.398 0.398 0.892
7 Ni 0.797 0.797 0.293
8 Ni 0.293 0.797 0.797
9 Ni 0.892 0.398 0.398
10 Ni 0.797 0.293 0.797
11 Ni 0.398 0.892 0.398
12 Ni 0.602 0.602 0.108
13 Ni 0.203 0.203 0.707
14 Ni 0.707 0.203 0.203
15 Ni 0.108 0.602 0.602
16 Ni 0.203 0.707 0.203
17 Ni 0.602 0.108 0.602
18 Ir 0.000 0.000 0.000

Its formation energy is -0.0947 eV per atom.


TbHo2Sb: optimized geometry, PBE-GGA.

a b c (Å): 3.981 3.981 9.721
angles (deg): 78.18 78.18 60.00
Site moments in Bohr magnetons follow the coordinates.
Element x y z (fractional)
1 Tb 0.500 0.500 0.499  0.25
2 Ho 0.068 0.068 0.796  0.19
3 Ho 0.265 0.265 0.204  0.04
4 Sb 0.666 0.666 0.001  0.00

The polymorph energy (0 for the lowest one) comes out at 232 meV per atom. The value obtained for the energy relative to the elements, uncorrected is -0.32 eV/atom.


LaHf3W: optimized geometry, PBE-GGA.

a b c (Å): 5.003 5.003 5.003
angles (deg): 90.00 90.00 90.00
Element x y z (fractional)
1 Hf 0.000 0.500 0.000
2 Hf 0.000 0.000 0.500
3 Hf 0.500 0.000 0.000
4 W 0.500 0.500 0.500
5 La 0.000 0.000 0.000

The polymorph energy (0 for the lowest one) comes out at 1565 meV per atom. Its formation energy is 2.1545 eV per atom.